# CaHf2Nb (SCAN, PBEsol geometry)
data_CaHf2Nb
_chemical_formula_sum 'Ca4 Hf8 Nb4'
_cell_length_a 7.010
_cell_length_b 7.010
_cell_length_c 7.010
_cell_angle_alpha 90.00
_cell_angle_beta 90.00
_cell_angle_gamma 90.00
_space_group_name_H-M_alt 'F m -3 m'
_space_group_IT_number 225
_space_group_name_Hall '-F 4 2 3'
loop_
_atom_site_label
_atom_site_type_symbol
_atom_site_fract_x
_atom_site_fract_y
_atom_site_fract_z
Ca1 Ca 0.000 0.000 0.000
Hf1 Hf 0.250 0.250 0.250
Nb1 Nb 0.000 0.000 0.500
# ΔH_f (0 K) (eV/atom): 0.477



# Ge2PdBr2 (SCAN, PBEsol geometry)
data_Ge2PdBr2
_chemical_formula_sum 'Ge4 Pd2 Br4'
_cell_length_a 4.420
_cell_length_b 4.420
_cell_length_c 11.893
_cell_angle_alpha 90.00
_cell_angle_beta 90.00
_cell_angle_gamma 90.00
_space_group_name_H-M_alt 'I 4/m m m'
_space_group_IT_number 139
_space_group_name_Hall '-I 4 2'
loop_
_atom_site_label
_atom_site_type_symbol
_atom_site_fract_x
_atom_site_fract_y
_atom_site_fract_z
Ge1 Ge 0.000 0.000 0.109
Pd1 Pd 0.000 0.000 0.500
Br1 Br 0.000 0.500 0.250
# Formation energy without anion corrections (meV/atom): 607.2



# SbTe2Br (SCAN, PBEsol geometry)
data_SbTe2Br
_chemical_formula_sum 'Sb1 Te2 Br1'
_cell_length_a 5.153
_cell_length_b 5.153
_cell_length_c 3.950
_cell_angle_alpha 90.00
_cell_angle_beta 90.00
_cell_angle_gamma 90.00
_space_group_name_H-M_alt 'P 4/m m m'
_space_group_IT_number 123
_space_group_name_Hall '-P 4 2'
loop_
_atom_site_label
_atom_site_type_symbol
_atom_site_fract_x
_atom_site_fract_y
_atom_site_fract_z
Sb1 Sb 0.000 0.000 0.000
Te1 Te 0.000 0.500 0.500
Br1 Br 0.500 0.500 0.000
# Formation energy without anion corrections (meV/atom): 350.0
# Relative energy among the computed polymorphs (meV per atom): 129



# TcRhW2 (SCAN, PBEsol geometry)
data_TcRhW2
_chemical_formula_sum 'Tc2 Rh2 W4'
_cell_length_a 3.859
_cell_length_b 3.859
_cell_length_c 7.907
_cell_angle_alpha 90.00
_cell_angle_beta 90.00
_cell_angle_gamma 90.00
_space_group_name_H-M_alt 'I -4 m 2'
_space_group_IT_number 119
_space_group_name_Hall 'I -4 -2'
loop_
_atom_site_label
_atom_site_type_symbol
_atom_site_fract_x
_atom_site_fract_y
_atom_site_fract_z
Tc1 Tc 0.000 0.000 0.000
Rh1 Rh 0.000 0.500 0.250
W1 W 0.000 0.000 0.500
W2 W 0.000 0.500 0.750
# ΔH_f (0 K) (eV/atom): 0.063
# Relative energy among the computed polymorphs (meV per atom): 48



# LaScZn (SCAN, PBEsol geometry)
data_LaScZn
_chemical_formula_sum 'La4 Sc4 Zn4'
_cell_length_a 6.711
_cell_length_b 6.711
_cell_length_c 6.711
_cell_angle_alpha 90.00
_cell_angle_beta 90.00
_cell_angle_gamma 90.00
_space_group_name_H-M_alt 'F -4 3 m'
_space_group_IT_number 216
_space_group_name_Hall 'F -4 2 3'
loop_
_atom_site_label
_atom_site_type_symbol
_atom_site_fract_x
_atom_site_fract_y
_atom_site_fract_z
La1 La 0.000 0.000 0.000
Sc1 Sc 0.250 0.250 0.750
Zn1 Zn 0.000 0.000 0.500
# ΔH_f (0 K) (eV/atom): 0.302
# Relative energy among the computed polymorphs (meV per atom): 527



# ScMnBe (SCAN, PBEsol geometry)
data_ScMnBe
_chemical_formula_sum 'Sc4 Mn4 Be4'
_cell_length_a 5.984
_cell_length_b 5.984
_cell_length_c 5.984
_cell_angle_alpha 90.00
_cell_angle_beta 90.00
_cell_angle_gamma 90.00
_space_group_name_H-M_alt 'F -4 3 m'
_space_group_IT_number 216
_space_group_name_Hall 'F -4 2 3'
loop_
_atom_site_label
_atom_site_type_symbol
_atom_site_fract_x
_atom_site_fract_y
_atom_site_fract_z
Sc1 Sc 0.000 0.000 0.000
Mn1 Mn 0.250 0.250 0.250
Be1 Be 0.250 0.250 0.750
# ΔH_f (0 K) (eV/atom): 0.838



# NbSn3Pd (SCAN, PBEsol geometry)
data_NbSn3Pd
_chemical_formula_sum 'Nb1 Sn3 Pd1'
_cell_length_a 5.240
_cell_length_b 5.240
_cell_length_c 5.240
_cell_angle_alpha 90.00
_cell_angle_beta 90.00
_cell_angle_gamma 90.00
_space_group_name_H-M_alt 'P m -3 m'
_space_group_IT_number 221
_space_group_name_Hall '-P 4 2 3'
loop_
_atom_site_label
_atom_site_type_symbol
_atom_site_fract_x
_atom_site_fract_y
_atom_site_fract_z
Nb1 Nb 0.000 0.000 0.000
Sn1 Sn 0.000 0.000 0.500
Pd1 Pd 0.500 0.500 0.500
# ΔH_f (0 K) (eV/atom): 0.664



# Cd2Si5N8 (SCAN, PBEsol geometry)
data_Cd2Si5N8
_chemical_formula_sum 'Cd16 Si40 N64'
_cell_length_a 9.599
_cell_length_b 13.532
_cell_length_c 10.615
_cell_angle_alpha 90.00
_cell_angle_beta 90.00
_cell_angle_gamma 90.00
_space_group_name_H-M_alt 'P b c a'
_space_group_IT_number 61
loop_
_space_group_symop_operation_xyz
'x,y,z'
'-x,-y,-z'
'-x+1/2,-y,z+1/2'
'x+1/2,y,-z+1/2'
'x+1/2,-y+1/2,-z'
'-x+1/2,y+1/2,z'
'-x,y+1/2,-z+1/2'
'x,-y+1/2,z+1/2'
loop_
_atom_site_label
_atom_site_type_symbol
_atom_site_fract_x
_atom_site_fract_y
_atom_site_fract_z
Cd1 Cd 0.043 0.080 0.111
Cd2 Cd 0.138 0.003 0.395
Si1 Si 0.009 0.215 0.483
Si2 Si 0.039 0.154 0.753
Si3 Si 0.162 0.545 0.164
Si4 Si 0.217 0.649 0.597
Si5 Si 0.228 0.725 0.330
N1 N 0.055 0.029 0.757
N2 N 0.059 0.606 0.058
N3 N 0.116 0.198 0.614
N4 N 0.116 0.220 0.878
N5 N 0.121 0.699 0.466
N6 N 0.137 0.689 0.737
N7 N 0.223 0.525 0.572
N8 N 0.232 0.116 0.258
# Formation energy without anion corrections (meV/atom): -948.9



# Zr2CrTcAu (SCAN, PBEsol geometry)
data_Zr2CrTcAu
_chemical_formula_sum 'Zr2 Cr1 Tc1 Au1'
_cell_length_a 5.021
_cell_length_b 5.021
_cell_length_c 4.858
_cell_angle_alpha 90.00
_cell_angle_beta 90.00
_cell_angle_gamma 90.00
_space_group_name_H-M_alt 'P 4/m m m'
_space_group_IT_number 123
_space_group_name_Hall '-P 4 2'
loop_
_atom_site_label
_atom_site_type_symbol
_atom_site_fract_x
_atom_site_fract_y
_atom_site_fract_z
Zr1 Zr 0.000 0.500 0.000
Cr1 Cr 0.000 0.000 0.500
Tc1 Tc 0.500 0.500 0.500
Au1 Au 0.500 0.500 0.000
# ΔH_f (0 K) (eV/atom): 1.039



# KRu2Se (SCAN, PBEsol geometry)
data_KRu2Se
_chemical_formula_sum 'K1 Ru2 Se1'
_cell_length_a 2.954
_cell_length_b 2.954
_cell_length_c 8.350
_cell_angle_alpha 90.00
_cell_angle_beta 90.00
_cell_angle_gamma 90.00
_space_group_name_H-M_alt 'P 4 m m'
_space_group_IT_number 99
loop_
_space_group_symop_operation_xyz
'x,y,z'
'-y,x,z'
'-x,-y,z'
'y,-x,z'
'-x,y,z'
'y,x,z'
'x,-y,z'
'-y,-x,z'
loop_
_atom_site_label
_atom_site_type_symbol
_atom_site_fract_x
_atom_site_fract_y
_atom_site_fract_z
K1 K 0.000 0.000 0.000
Ru1 Ru 0.000 0.000 0.500
Ru2 Ru 0.500 0.500 0.317
Se1 Se 0.500 0.500 0.690
# Formation energy without anion corrections (meV/atom): 372.0



# FeNiOs2 (SCAN, PBEsol geometry)
data_FeNiOs2
_chemical_formula_sum 'Fe2 Ni2 Os4'
_cell_length_a 5.185
_cell_length_b 8.569
_cell_length_c 2.577
_cell_angle_alpha 90.00
_cell_angle_beta 116.24
_cell_angle_gamma 90.00
_space_group_name_H-M_alt 'C 1 2/m 1'
_space_group_IT_number 12
loop_
_space_group_symop_operation_xyz
'x,y,z'
'-x,-y,-z'
'-x,y,-z'
'x,-y,z'
'x+1/2,y+1/2,z'
'-x+1/2,-y+1/2,-z'
'-x+1/2,y+1/2,-z'
'x+1/2,-y+1/2,z'
loop_
_atom_site_label
_atom_site_type_symbol
_atom_site_fract_x
_atom_site_fract_y
_atom_site_fract_z
Fe1 Fe 0.000 0.000 0.000
Ni1 Ni 0.000 0.500 0.000
Os1 Os 0.250 0.250 0.500
# ΔH_f (0 K) (eV/atom): 0.300
# Relative energy among the computed polymorphs (meV per atom): 107



Number 1: V 21.53 A^3/atom, size of the total moment 0.0 μB/f.u.. Number 2: V 23.24 A^3/atom, size of the total moment 0.0 μB/f.u.. Number 3: V 26.22 A^3/atom, size of the total moment 0.0 μB/f.u.. Number 4: V 14.72 A^3/atom, size of the total moment 0.0 μB/f.u.. Number 5: V 25.19 A^3/atom, size of the total moment 0.0 μB/f.u.. Number 6: V 17.85 A^3/atom, size of the total moment 3.8 μB/f.u.. Number 7: V 28.78 A^3/atom, size of the total moment 0.0 μB/f.u.. Number 8: V 11.49 A^3/atom, size of the total moment 0.0 μB/f.u.. Number 9: V 24.49 A^3/atom, size of the total moment 2.9 μB/f.u.. Number 10: V 18.22 A^3/atom, size of the total moment 0.0 μB/f.u.. Number 11: V 12.84 A^3/atom, size of the total moment 3.4 μB/f.u..